NaIn2Br4 after structural relaxation. Source: the Alexandria database, functional GGA-PBE.

Summary:
The uncorrected formation energy comes out at -0.7783 eV/atom. The calculation puts the calculated total energy at -18.94 eV per formula unit.

Geometry as CIF:
```
data_NaIn2Br4
_space_group_name_H-M_alt 'I 4/m m m'
_space_group_IT_number 139
_space_group_name_Hall '-I 4 2'
_cell_length_a 5.8770
_cell_length_b 5.8770
_cell_length_c 14.2562
_cell_angle_alpha 90.00
_cell_angle_beta 90.00
_cell_angle_gamma 90.00
loop_
_atom_site_label
_atom_site_fract_x
_atom_site_fract_y
_atom_site_fract_z
_atom_site_occupancy
Na1 0.0000 0.0000 0.0000 1
In1 0.0000 0.0000 0.3938 1
Br1 0.0000 0.0000 0.2080 1
Br2 0.0000 0.5000 0.0000 1
```

---

LaZrBr2 after structural relaxation. Source: the Alexandria database, functional GGA-PBE.

Summary:
The value obtained for the energy above the lowest structure with this stoichiometry is 67.6 meV/atom. The uncorrected formation energy comes out at -0.8768 eV/atom. The calculation puts the calculated total energy at -20.33 eV per formula unit.

Geometry as CIF:
```
data_LaZrBr2
_space_group_name_H-M_alt 'P 4 m m'
_space_group_IT_number 99
_cell_length_a 3.7014
_cell_length_b 3.7014
_cell_length_c 8.1596
_cell_angle_alpha 90.00
_cell_angle_beta 90.00
_cell_angle_gamma 90.00
loop_
_space_group_symop_operation_xyz
'x,y,z'
'-y,x,z'
'-x,-y,z'
'y,-x,z'
'-x,y,z'
'y,x,z'
'x,-y,z'
'-y,-x,z'
loop_
_atom_site_label
_atom_site_fract_x
_atom_site_fract_y
_atom_site_fract_z
_atom_site_occupancy
La1 0.0000 0.0000 0.0000 1
Zr1 0.5000 0.5000 0.2930 1
Br1 0.0000 0.0000 0.4201 1
Br2 0.5000 0.5000 0.7572 1
```

---

Ca3AlPd3 after structural relaxation. Source: the Alexandria database, functional GGA-PBE.

Summary:
The value obtained for the energy above the lowest structure with this stoichiometry is 148.4 meV/atom. The calculation puts the calculated total energy at -29.45 eV per formula unit. As for the formation energy: -0.59 eV per atom.

Geometry as CIF:
```
data_Ca3AlPd3
_space_group_name_H-M_alt 'C 1 2/m 1'
_space_group_IT_number 12
_cell_length_a 9.3880
_cell_length_b 9.8417
_cell_length_c 7.1495
_cell_angle_alpha 90.00
_cell_angle_beta 90.43
_cell_angle_gamma 90.00
loop_
_space_group_symop_operation_xyz
'x,y,z'
'-x,-y,-z'
'-x,y,-z'
'x,-y,z'
'x+1/2,y+1/2,z'
'-x+1/2,-y+1/2,-z'
'-x+1/2,y+1/2,-z'
'x+1/2,-y+1/2,z'
loop_
_atom_site_label
_atom_site_fract_x
_atom_site_fract_y
_atom_site_fract_z
_atom_site_occupancy
Ca1 0.0000 0.1761 0.0000 1
Ca2 0.0000 0.2771 0.5000 1
Ca3 0.1767 0.5000 0.9241 1
Al1 0.1945 0.0000 0.6477 1
Pd1 0.0821 0.0000 0.3274 1
Pd2 0.2372 0.2743 0.2229 1
```

---

BaMgCu after structural relaxation. Source: the Alexandria database, functional GGA-PBE.

Summary:
The calculation puts the calculated total energy at -7.55 eV per formula unit. As for the formation energy: 0.02 eV per atom.

Geometry as CIF:
```
data_BaMgCu
_space_group_name_H-M_alt 'P -6 m 2'
_space_group_IT_number 187
_space_group_name_Hall 'P -6 2'
_cell_length_a 4.7848
_cell_length_b 4.7848
_cell_length_c 4.6756
_cell_angle_alpha 90.00
_cell_angle_beta 90.00
_cell_angle_gamma 120.00
loop_
_atom_site_label
_atom_site_fract_x
_atom_site_fract_y
_atom_site_fract_z
_atom_site_occupancy
Ba1 0.0000 0.0000 0.0000 1
Mg1 0.3333 0.6667 0.5000 1
Cu1 0.6667 0.3333 0.5000 1
```

---

KLiFe2 after structural relaxation. Source: the Alexandria database, functional GGA-PBE.

Summary:
The value obtained for the energy above the lowest structure with this stoichiometry is 172.0 meV/atom. The calculation puts the calculated total energy at -17.08 eV per formula unit. As for the formation energy: 0.72 eV per atom.

Geometry as CIF:
```
data_KLiFe2
_space_group_name_H-M_alt 'P 1 2/m 1'
_space_group_IT_number 10
_cell_length_a 2.7761
_cell_length_b 4.6495
_cell_length_c 7.0125
_cell_angle_alpha 90.00
_cell_angle_beta 100.11
_cell_angle_gamma 90.00
loop_
_space_group_symop_operation_xyz
'x,y,z'
'-x,-y,-z'
'-x,y,-z'
'x,-y,z'
loop_
_atom_site_label
_atom_site_fract_x
_atom_site_fract_y
_atom_site_fract_z
_atom_site_occupancy
K1 0.0000 0.0000 0.0000 1
Li1 0.5000 0.0000 0.5000 1
Fe1 0.2844 0.5000 0.6314 1
```

---

Sn2H2Se3 after structural relaxation. Source: the Alexandria database, functional GGA-PBE.

Summary:
The calculation puts the calculated total energy at -26.05 eV per formula unit.

Geometry as CIF:
```
data_Sn2H2Se3
_space_group_name_H-M_alt 'P -1'
_space_group_IT_number 2
_cell_length_a 3.9316
_cell_length_b 5.0972
_cell_length_c 8.8857
_cell_angle_alpha 79.78
_cell_angle_beta 77.36
_cell_angle_gamma 89.98
loop_
_space_group_symop_operation_xyz
'x,y,z'
'-x,-y,-z'
loop_
_atom_site_label
_atom_site_fract_x
_atom_site_fract_y
_atom_site_fract_z
_atom_site_occupancy
Sn1 0.1235 0.1370 0.2485 1
H1 0.4130 0.3581 0.6742 1
Se1 0.3352 0.4347 0.8342 1
Se2 0.5000 0.0000 0.5000 1
```

---

BePdO2 after structural relaxation. Source: the Alexandria database, functional GGA-PBE.

Summary:
The uncorrected formation energy comes out at -1.2241 eV/atom. The calculation puts the calculated total energy at -23.73 eV per formula unit.

Geometry as CIF:
```
data_BePdO2
_space_group_name_H-M_alt 'I -4 2 d'
_space_group_IT_number 122
_space_group_name_Hall 'I -4 2bw'
_cell_length_a 4.5510
_cell_length_b 4.5510
_cell_length_c 7.6345
_cell_angle_alpha 90.00
_cell_angle_beta 90.00
_cell_angle_gamma 90.00
loop_
_atom_site_label
_atom_site_fract_x
_atom_site_fract_y
_atom_site_fract_z
_atom_site_occupancy
Be1 0.0000 0.0000 0.0000 1
Pd1 0.0000 0.0000 0.5000 1
O1 0.1558 0.2500 0.1250 1
```

---

Li3GeO3 after structural relaxation. Source: the Alexandria database, functional GGA-PBE.

Summary:
The uncorrected formation energy comes out at -1.6193 eV/atom. The calculation puts the calculated total energy at -36.57 eV per formula unit.

Geometry as CIF:
```
data_Li3GeO3
_space_group_name_H-M_alt 'P 63/m m c'
_space_group_IT_number 194
_space_group_name_Hall '-P 6c 2c'
_cell_length_a 6.8126
_cell_length_b 6.8126
_cell_length_c 4.0599
_cell_angle_alpha 90.00
_cell_angle_beta 90.00
_cell_angle_gamma 120.00
loop_
_atom_site_label
_atom_site_fract_x
_atom_site_fract_y
_atom_site_fract_z
_atom_site_occupancy
Li1 0.1587 0.3174 0.2500 1
Ge1 0.3333 0.6667 0.7500 1
O1 0.1825 0.3651 0.7500 1
```

---

CuPPd4 after structural relaxation. Source: the Alexandria database, functional GGA-PBE.

Summary:
The value obtained for the energy above the lowest structure with this stoichiometry is 0.0 meV/atom. The calculation puts the calculated total energy at -31.91 eV per formula unit. As for the formation energy: -0.27 eV per atom.

Geometry as CIF:
```
data_CuPPd4
_space_group_name_H-M_alt 'P n m a'
_space_group_IT_number 62
_cell_length_a 6.9765
_cell_length_b 2.9785
_cell_length_c 16.6911
_cell_angle_alpha 90.00
_cell_angle_beta 90.00
_cell_angle_gamma 90.00
loop_
_space_group_symop_operation_xyz
'x,y,z'
'-x,-y,-z'
'-x+1/2,-y,z+1/2'
'x+1/2,y,-z+1/2'
'x+1/2,-y+1/2,-z+1/2'
'-x+1/2,y+1/2,z+1/2'
'-x,y+1/2,-z'
'x,-y+1/2,z'
loop_
_atom_site_label
_atom_site_fract_x
_atom_site_fract_y
_atom_site_fract_z
_atom_site_occupancy
Cu1 0.1979 0.2500 0.1867 1
P1 0.2479 0.7500 0.4533 1
Pd1 0.0015 0.2500 0.7168 1
Pd2 0.0372 0.7500 0.5708 1
Pd3 0.1054 0.7500 0.0579 1
Pd4 0.1781 0.7500 0.8454 1
```

---

Tb6Sm4Er after structural relaxation. Source: the Alexandria database, functional GGA-PBE.

Summary:
The value obtained for the energy above the lowest structure with this stoichiometry is 303.5 meV/atom. The calculation puts the calculated total energy at -46.52 eV per formula unit. As for the formation energy: 0.43 eV per atom.

Geometry as CIF:
```
data_Tb6Sm4Er
_space_group_name_H-M_alt 'I -4 2 m'
_space_group_IT_number 121
_space_group_name_Hall 'I -4 2'
_cell_length_a 7.5986
_cell_length_b 7.5986
_cell_length_c 13.2605
_cell_angle_alpha 90.00
_cell_angle_beta 90.00
_cell_angle_gamma 90.00
loop_
_atom_site_label
_atom_site_fract_x
_atom_site_fract_y
_atom_site_fract_z
_atom_site_occupancy
Tb1 0.0000 0.5000 0.0000 1
Tb2 0.2347 0.2347 0.1855 1
Sm1 0.1725 0.1725 0.4228 1
Er1 0.0000 0.0000 0.0000 1
```

---

LiSmIr after structural relaxation. Source: the Alexandria database, functional GGA-PBE.

Summary:
The value obtained for the energy above the lowest structure with this stoichiometry is 215.4 meV/atom. The calculation puts the calculated total energy at -16.23 eV per formula unit. As for the formation energy: -0.25 eV per atom.

Geometry as CIF:
```
data_LiSmIr
_space_group_name_H-M_alt 'C m c m'
_space_group_IT_number 63
_space_group_name_Hall '-C 2c 2'
_cell_length_a 4.2761
_cell_length_b 14.3531
_cell_length_c 5.1681
_cell_angle_alpha 90.00
_cell_angle_beta 90.00
_cell_angle_gamma 90.00
loop_
_atom_site_label
_atom_site_fract_x
_atom_site_fract_y
_atom_site_fract_z
_atom_site_occupancy
Li1 0.0000 0.1626 0.2500 1
Sm1 0.0000 0.4030 0.2500 1
Ir1 0.0000 0.0000 0.0000 1
```

---

Be2ZnAu3 after structural relaxation. Source: the Alexandria database, functional GGA-PBE.

Summary:
The value obtained for the energy above the lowest structure with this stoichiometry is 120.4 meV/atom. The calculation puts the calculated total energy at -18.68 eV per formula unit. As for the formation energy: -0.02 eV per atom.

Geometry as CIF:
```
data_Be2ZnAu3
_space_group_name_H-M_alt 'R -3 c'
_space_group_IT_number 167
_space_group_name_Hall '-R 3 2"c'
_cell_length_a 6.2234
_cell_length_b 6.2234
_cell_length_c 16.6293
_cell_angle_alpha 90.00
_cell_angle_beta 90.00
_cell_angle_gamma 120.00
loop_
_atom_site_label
_atom_site_fract_x
_atom_site_fract_y
_atom_site_fract_z
_atom_site_occupancy
Be1 0.0000 0.0000 0.1444 1
Zn1 0.0000 0.0000 0.0000 1
Au1 0.0000 0.2777 0.2500 1
```

---

Li2CoBr after structural relaxation. Source: the Alexandria database, functional GGA-PBE.

Summary:
The value obtained for the energy above the lowest structure with this stoichiometry is 49.7 meV/atom. The uncorrected formation energy comes out at -0.0850 eV/atom. The calculation puts the calculated total energy at -12.95 eV per formula unit.

Geometry as CIF:
```
data_Li2CoBr
_space_group_name_H-M_alt 'R -3 m'
_space_group_IT_number 166
_space_group_name_Hall '-R 3 2"'
_cell_length_a 3.2972
_cell_length_b 3.2972
_cell_length_c 22.7740
_cell_angle_alpha 90.00
_cell_angle_beta 90.00
_cell_angle_gamma 120.00
loop_
_atom_site_label
_atom_site_fract_x
_atom_site_fract_y
_atom_site_fract_z
_atom_site_occupancy
Li1 0.0000 0.0000 0.2419 1
Co1 0.0000 0.0000 0.0000 1
Br1 0.0000 0.0000 0.5000 1
```

---

LiAl2Mo after structural relaxation. Source: the Alexandria database, functional GGA-PBE.

Summary:
The value obtained for the energy above the lowest structure with this stoichiometry is 73.4 meV/atom. The calculation puts the calculated total energy at -20.70 eV per formula unit. As for the formation energy: -0.12 eV per atom.

Geometry as CIF:
```
data_LiAl2Mo
_space_group_name_H-M_alt 'C m m m'
_space_group_IT_number 65
_space_group_name_Hall '-C 2 2'
_cell_length_a 3.4461
_cell_length_b 4.2218
_cell_length_c 8.7573
_cell_angle_alpha 90.00
_cell_angle_beta 90.00
_cell_angle_gamma 90.00
loop_
_atom_site_label
_atom_site_fract_x
_atom_site_fract_y
_atom_site_fract_z
_atom_site_occupancy
Li1 0.0000 0.0000 0.0000 1
Al1 0.0000 0.5000 0.2588 1
Mo1 0.0000 0.0000 0.5000 1
```

---

ScTi2Ag2 after structural relaxation. Source: the Alexandria database, functional GGA-PBE.

Summary:
The value obtained for the energy above the lowest structure with this stoichiometry is 0.0 meV/atom. The calculation puts the calculated total energy at -27.09 eV per formula unit. As for the formation energy: 0.15 eV per atom.

Geometry as CIF:
```
data_ScTi2Ag2
_space_group_name_H-M_alt 'P 4/m b m'
_space_group_IT_number 127
_space_group_name_Hall '-P 4 2ab'
_cell_length_a 7.9965
_cell_length_b 7.9965
_cell_length_c 2.9784
_cell_angle_alpha 90.00
_cell_angle_beta 90.00
_cell_angle_gamma 90.00
loop_
_atom_site_label
_atom_site_fract_x
_atom_site_fract_y
_atom_site_fract_z
_atom_site_occupancy
Sc1 0.0000 0.0000 0.0000 1
Ti1 0.1167 0.3833 0.0000 1
Ag1 0.1795 0.6795 0.5000 1
```

---

ZrMo2W after structural relaxation. Source: the Alexandria database, functional GGA-PBE.

Summary:
The value obtained for the energy above the lowest structure with this stoichiometry is 48.0 meV/atom. The calculation puts the calculated total energy at -43.09 eV per formula unit. As for the formation energy: 0.02 eV per atom.

Geometry as CIF:
```
data_ZrMo2W
_space_group_name_H-M_alt 'P 4 m m'
_space_group_IT_number 99
_cell_length_a 3.2288
_cell_length_b 3.2288
_cell_length_c 6.6159
_cell_angle_alpha 90.00
_cell_angle_beta 90.00
_cell_angle_gamma 90.00
loop_
_space_group_symop_operation_xyz
'x,y,z'
'-y,x,z'
'-x,-y,z'
'y,-x,z'
'-x,y,z'
'y,x,z'
'x,-y,z'
'-y,-x,z'
loop_
_atom_site_label
_atom_site_fract_x
_atom_site_fract_y
_atom_site_fract_z
_atom_site_occupancy
Zr1 0.0000 0.0000 0.0000 1
Mo1 0.0000 0.0000 0.4982 1
Mo2 0.5000 0.5000 0.2653 1
W1 0.5000 0.5000 0.7311 1
```

---

HfReAgTe2 after structural relaxation. Source: the Alexandria database, functional GGA-PBE.

Summary:
The uncorrected formation energy comes out at 1.1025 eV/atom. The calculation puts the calculated total energy at -26.02 eV per formula unit.

Geometry as CIF:
```
data_HfReAgTe2
_space_group_name_H-M_alt 'P 4/m m m'
_space_group_IT_number 123
_space_group_name_Hall '-P 4 2'
_cell_length_a 5.5363
_cell_length_b 5.5363
_cell_length_c 5.0872
_cell_angle_alpha 90.00
_cell_angle_beta 90.00
_cell_angle_gamma 90.00
loop_
_atom_site_label
_atom_site_fract_x
_atom_site_fract_y
_atom_site_fract_z
_atom_site_occupancy
Hf1 0.0000 0.0000 0.0000 1
Re1 0.0000 0.0000 0.5000 1
Ag1 0.5000 0.5000 0.5000 1
Te1 0.0000 0.5000 0.0000 1
```

---

Dy2YTmTe5 after structural relaxation. Source: the Alexandria database, functional GGA-PBE.

Summary:
The uncorrected formation energy comes out at -0.6772 eV/atom. The calculation puts the calculated total energy at -41.94 eV per formula unit.

Geometry as CIF:
```
data_Dy2YTmTe5
_space_group_name_H-M_alt 'P 4/m m m'
_space_group_IT_number 123
_space_group_name_Hall '-P 4 2'
_cell_length_a 5.4978
_cell_length_b 5.4978
_cell_length_c 11.4815
_cell_angle_alpha 90.00
_cell_angle_beta 90.00
_cell_angle_gamma 90.00
loop_
_atom_site_label
_atom_site_fract_x
_atom_site_fract_y
_atom_site_fract_z
_atom_site_occupancy
Dy1 0.0000 0.0000 0.1521 1
Y1 0.5000 0.5000 0.5000 1
Tm1 0.5000 0.5000 0.0000 1
Te1 0.0000 0.0000 0.5000 1
Te2 0.0000 0.5000 0.0000 1
Te3 0.5000 0.5000 0.2529 1
```

---

Nd2Ge2Ir after structural relaxation. Source: the Alexandria database, functional GGA-PBE.

Summary:
The calculation puts the calculated total energy at -31.88 eV per formula unit. As for the formation energy: -0.85 eV per atom.

Geometry as CIF:
```
data_Nd2Ge2Ir
_space_group_name_H-M_alt 'C 1 2/m 1'
_space_group_IT_number 12
_cell_length_a 10.9808
_cell_length_b 4.3824
_cell_length_c 10.6456
_cell_angle_alpha 90.00
_cell_angle_beta 117.23
_cell_angle_gamma 90.00
loop_
_space_group_symop_operation_xyz
'x,y,z'
'-x,-y,-z'
'-x,y,-z'
'x,-y,z'
'x+1/2,y+1/2,z'
'-x+1/2,-y+1/2,-z'
'-x+1/2,y+1/2,-z'
'x+1/2,-y+1/2,z'
loop_
_atom_site_label
_atom_site_fract_x
_atom_site_fract_y
_atom_site_fract_z
_atom_site_occupancy
Nd1 0.0077 0.0000 0.3313 1
Nd2 0.1915 0.0000 0.1180 1
Ge1 0.0132 0.5000 0.8825 1
Ge2 0.1569 0.5000 0.5532 1
Ir1 0.2279 0.5000 0.3356 1
```